# 1
DFT (PBE-GGA) results for an optimized crystal structure of Zn3Cu4Pd.

Output
As for the formation energy from the elements: -1.1 eV/f.u. The crystal system is monoclinic.

abc: 2.883 4.347 31.333
angles: 163.97 92.64 90.00
Sites, in units of the cell vectors:
Zn: 0.000 0.500 0.000
Zn: 0.367 0.484 0.734
Zn: 0.633 0.516 0.266
Cu: 0.747 0.705 0.494
Cu: 0.253 0.295 0.506
Cu: 0.871 0.048 0.743
Cu: 0.129 0.952 0.257
Pd: 0.500 0.000 0.000



# 2
DFT (PBE-GGA) results for an optimized crystal structure of ZnCu2Pd4.

Output
As for the formation energy from the elements: -1.3 eV/f.u. The crystal system is triclinic.

abc: 7.842 4.864 6.545
angles: 99.03 103.57 118.67
Sites, in units of the cell vectors:
Zn: 0.381 0.817 0.548
Zn: 0.013 0.960 0.958
Cu: 0.638 0.495 0.676
Cu: 0.583 0.649 0.313
Cu: 0.582 0.151 0.312
Cu: 0.175 0.409 0.709
Pd: 0.919 0.164 0.308
Pd: 0.201 0.599 0.111
Pd: 0.972 0.739 0.548
Pd: 0.801 0.141 0.699
Pd: 0.269 0.179 0.377
Pd: 0.360 0.137 0.908
Pd: 0.562 0.807 0.946
Pd: 0.794 0.504 0.086